<w>
## TaCoHg2F (PBE with a Hubbard U)

Data for TaCoHg2F after structural relaxation.

It has space group P4/mmm (No. 123), with a = 4.939 Å, b = 4.939 Å, c = 4.359 Å, α = 90.00°, β = 90.00° and γ = 90.00°. The distinct sites, in fractional coordinates, are Ta at (0.000, 0.000, 0.000), Co at (0.000, 0.000, 0.500), Hg at (0.000, 0.500, 0.500) and F at (0.500, 0.500, 0.000).

***

<x>
## TaCoHg2F (PBE with a Hubbard U)

Data for TaCoHg2F after structural relaxation.

It has space group P4/mmm (No. 123), with a = 5.251 Å, b = 5.251 Å, c = 3.575 Å, α = 90.00°, β = 90.00° and γ = 90.00°. The distinct sites, in fractional coordinates, are Ta at (0.000, 0.000, 0.000), Co at (0.500, 0.500, 0.500), Hg at (0.000, 0.500, 0.500) and F at (0.500, 0.500, 0.000).

***

So which one is most stable? That would be <x>, about 122 meV/atom below the next structure.